[1]
# ErTm5Al2

ErTm5Al2 after structural relaxation (PBE, Alexandria via LeMat-Bulk).

Unit cell a=3.461 b=8.164 c=8.164 alpha=76.44 beta=77.76 gamma=77.76
Positions (direct):
Al (0.742, 0.758, 0.758)
Al (0.258, 0.242, 0.242)
Tm (0.364, 0.408, 0.864)
Tm (0.636, 0.136, 0.592)
Tm (0.636, 0.592, 0.136)
Tm (0.364, 0.864, 0.408)
Tm (0.000, 0.500, 0.500)
Er (0.000, 0.000, 0.000)

---

[2]
# Er2TmAl3

Er2TmAl3 after structural relaxation (PBE, Alexandria via LeMat-Bulk).

Unit cell a=3.554 b=3.554 c=10.720 alpha=90.00 beta=90.00 gamma=90.00
Positions (direct):
Al (0.000, 0.000, 0.665)
Al (0.000, 0.000, 0.335)
Al (0.000, 0.000, 0.000)
Er (0.500, 0.500, 0.167)
Er (0.500, 0.500, 0.833)
Tm (0.500, 0.500, 0.500)

---

[3]
# Er6Tm8Al

Er6Tm8Al after structural relaxation (PBE, Alexandria via LeMat-Bulk).

Unit cell a=6.658 b=8.980 c=8.980 alpha=120.00 beta=90.00 gamma=90.00
Positions (direct):
Er (0.606, 0.682, 0.069)
Er (0.394, 0.613, 0.682)
Er (0.606, 0.387, 0.318)
Er (0.606, 0.931, 0.613)
Er (0.394, 0.318, 0.931)
Er (0.394, 0.069, 0.387)
Tm (0.114, 0.673, 0.986)
Tm (0.886, 0.327, 0.014)
Tm (0.202, 0.667, 0.333)
Tm (0.886, 0.687, 0.673)
Tm (0.798, 0.333, 0.667)
Tm (0.886, 0.986, 0.313)
Tm (0.114, 0.313, 0.327)
Tm (0.114, 0.014, 0.687)
Al (0.500, 0.000, 0.000)

---

[4]
# ErTm2Al

ErTm2Al after structural relaxation (PBE, Alexandria via LeMat-Bulk).

Unit cell a=5.280 b=5.280 c=5.280 alpha=60.00 beta=60.00 gamma=60.00
Positions (direct):
Tm (0.750, 0.750, 0.750)
Tm (0.250, 0.250, 0.250)
Al (0.500, 0.500, 0.500)
Er (0.000, 0.000, 0.000)

Output
Energy above the most stable polymorph in this dataset, meV/atom: 151

---

[5]
# Er8Tm2Al

Er8Tm2Al after structural relaxation (PBE, Alexandria via LeMat-Bulk).

Unit cell a=5.408 b=6.320 c=9.840 alpha=86.04 beta=105.95 gamma=90.00
Positions (direct):
Er (0.342, 0.122, 0.684)
Er (0.957, 0.255, 0.914)
Er (0.155, 0.191, 0.310)
Er (0.658, 0.878, 0.316)
Er (0.845, 0.809, 0.690)
Er (0.578, 0.399, 0.157)
Er (0.043, 0.745, 0.086)
Er (0.422, 0.601, 0.843)
Tm (0.758, 0.334, 0.517)
Tm (0.242, 0.666, 0.483)
Al (0.500, 0.000, 0.000)

---

[6]
# ErTm3Al8

ErTm3Al8 after structural relaxation (PBE, Alexandria via LeMat-Bulk).

Unit cell a=5.511 b=5.511 c=9.021 alpha=90.00 beta=90.00 gamma=120.00
Positions (direct):
Al (0.162, 0.324, 0.250)
Al (0.505, 0.009, 0.750)
Al (0.505, 0.495, 0.750)
Al (0.991, 0.495, 0.750)
Al (0.162, 0.838, 0.250)
Al (0.676, 0.838, 0.250)
Al (0.333, 0.667, 0.500)
Al (0.333, 0.667, 0.000)
Tm (0.667, 0.333, 0.432)
Tm (0.667, 0.333, 0.067)
Tm (0.000, 0.000, 0.933)
Er (0.000, 0.000, 0.567)

Output
Energy above the most stable polymorph in this dataset, meV/atom: 9

---

For each record above, in turn, the calculated magnetization values are 0.00, 0.00, 0.00, 0.00, 0.00, 0.00 Bohr magnetons per cell.
For each record above, in turn, the calculated DOS(E_F) values are 1.268, 0.400, 1.389, 1.361, 1.285, 0.503 states/eV/atom.
For each record above, in turn, the calculated calculated formation energy values are -0.10, -0.39, 0.25, -0.05, -0.04, -0.49 eV/atom.